K2PrFeO4 | PBE with a Hubbard U | relaxed

Summary:
The value obtained for the calculated total energy is -94.91 eV for the cell shown.

a b c (Å): 6.182 6.182 7.204
angles (deg): 90.00 90.00 90.00
Space group I-4 (No. 82)
One atom of each set of equivalent atoms:
1 K 0.000 0.000 0.000 [2 per cell]
2 K 0.000 0.500 0.250 [2 per cell]
3 Pr 0.000 0.500 0.750 [2 per cell]
4 Fe 0.000 0.000 0.500 [2 per cell]
5 O 0.165 0.753 0.563 [8 per cell]